# 1
{"formula": "Tm2Cu5Si3", "functional": "PBE", "state": "relaxed", "magmom_total_mub_per_atom": 0.0000, "formation_energy_uncorrected_ev_per_fu": -2.565, "sg": "P-4m2 (115)", "cell": [[3.9575, 0.0000, 0.0000], [0.0000, 3.9575, 0.0000], [0.0000, 0.0000, 10.1282]], "species": ["Cu", "Cu", "Cu", "Cu", "Cu", "Si", "Si", "Si", "Tm", "Tm"], "fractional_positions": [[0.0000, 0.0000, 0.0000], [0.5000, 0.5000, 0.0000], [0.5000, 0.0000, 0.8595], [0.0000, 0.5000, 0.1405], [0.5000, 0.5000, 0.5000], [0.0000, 0.5000, 0.3613], [0.5000, 0.0000, 0.6387], [0.0000, 0.0000, 0.5000], [0.0000, 0.5000, 0.7537], [0.5000, 0.0000, 0.2463]]}

# 2
{"formula": "TmCu3Si3", "functional": "PBE", "state": "relaxed", "magmom_total_mub_per_atom": 0.0000, "formation_energy_uncorrected_ev_per_fu": 1.331, "sg": "Pm-3n (223)", "cell": [[-6.1345, 1.6279, -0.5798], [-0.6583, -4.1787, -4.7670], [-1.5978, -4.5285, 4.1903]], "species": ["Tm", "Tm", "Si", "Si", "Si", "Si", "Si", "Si", "Cu", "Cu", "Cu", "Cu", "Cu", "Cu"], "fractional_positions": [[0.0000, 0.0000, 0.0000], [0.5000, 0.5000, 0.5000], [0.0000, 0.5000, 0.2500], [0.7500, 0.0000, 0.5000], [0.2500, 0.0000, 0.5000], [0.5000, 0.2500, 0.0000], [0.0000, 0.5000, 0.7500], [0.5000, 0.7500, 0.0000], [0.5000, 0.0000, 0.2500], [0.2500, 0.5000, 0.0000], [0.0000, 0.2500, 0.5000], [0.5000, 0.0000, 0.7500], [0.7500, 0.5000, 0.0000], [0.0000, 0.7500, 0.5000]]}

# 3
{"formula": "Tm3CuSi2", "functional": "PBE", "state": "relaxed", "magmom_total_mub_per_atom": 0.0000, "formation_energy_uncorrected_ev_per_fu": -3.937, "sg": "Pnma (62)", "cell": [[4.1202, 0.0000, 0.0000], [0.0000, 11.1744, 0.0000], [0.0000, 0.0000, 11.1058]], "species": ["Tm", "Tm", "Tm", "Tm", "Tm", "Tm", "Tm", "Tm", "Tm", "Tm", "Tm", "Tm", "Si", "Si", "Si", "Si", "Si", "Si", "Si", "Si", "Cu", "Cu", "Cu", "Cu"], "fractional_positions": [[0.7500, 0.9375, 0.1234], [0.7500, 0.1969, 0.2905], [0.7500, 0.8782, 0.4419], [0.7500, 0.3031, 0.7905], [0.2500, 0.8031, 0.7095], [0.2500, 0.3782, 0.0581], [0.2500, 0.1218, 0.5581], [0.2500, 0.0625, 0.8766], [0.2500, 0.4375, 0.3766], [0.2500, 0.6969, 0.2095], [0.7500, 0.5625, 0.6234], [0.7500, 0.6218, 0.9419], [0.7500, 0.5042, 0.1917], [0.2500, 0.0042, 0.3083], [0.2500, 0.8154, 0.9771], [0.7500, 0.9958, 0.6917], [0.7500, 0.1846, 0.0229], [0.2500, 0.4958, 0.8083], [0.2500, 0.6846, 0.4771], [0.7500, 0.3154, 0.5229], [0.2500, 0.3644, 0.6315], [0.2500, 0.1356, 0.1315], [0.7500, 0.8644, 0.8685], [0.7500, 0.6356, 0.3685]]}

# 4
{"formula": "TmCu9Si2", "functional": "PBE", "state": "relaxed", "magmom_total_mub_per_atom": 0.0000, "formation_energy_uncorrected_ev_per_fu": -2.410, "sg": "I4_1/amd (141)", "cell": [[5.8190, 0.0000, 2.6790], [2.9095, 7.0865, 1.3395], [-0.0540, 0.0000, 7.7766]], "species": ["Cu", "Cu", "Cu", "Cu", "Cu", "Cu", "Cu", "Cu", "Cu", "Cu", "Cu", "Cu", "Cu", "Cu", "Cu", "Cu", "Cu", "Cu", "Si", "Si", "Si", "Si", "Tm", "Tm"], "fractional_positions": [[0.1454, 0.1739, 0.4177], [0.7370, 0.8261, 0.5823], [0.7500, 0.5000, 0.5000], [0.3131, 0.6739, 0.0823], [0.4369, 0.4177, 0.8261], [0.0130, 0.9177, 0.6739], [0.0693, 0.9177, 0.3261], [0.3131, 0.0823, 0.6739], [0.0130, 0.6739, 0.9177], [0.6807, 0.5823, 0.1739], [0.7370, 0.5823, 0.8261], [0.4369, 0.8261, 0.4177], [0.6046, 0.0823, 0.3261], [0.6046, 0.3261, 0.0823], [0.0000, 0.0000, 0.0000], [0.6807, 0.1739, 0.5823], [0.1454, 0.4177, 0.1739], [0.0693, 0.3261, 0.9177], [0.8750, 0.2500, 0.7500], [0.8750, 0.7500, 0.2500], [0.3750, 0.7500, 0.7500], [0.8750, 0.2500, 0.2500], [0.5000, 0.0000, 0.0000], [0.2500, 0.5000, 0.5000]]}

# 5
{"formula": "Tm2Cu12Si7", "functional": "PBE", "state": "relaxed", "magmom_total_mub_per_atom": 0.0000, "formation_energy_uncorrected_ev_per_fu": -4.941, "sg": "P-3 (147)", "cell": [[-3.0176, 1.9903, -1.3964], [-5.9158, -6.1336, 4.0417], [2.8416, 7.6386, 4.7468]], "species": ["Cu", "Cu", "Cu", "Cu", "Cu", "Cu", "Cu", "Cu", "Cu", "Cu", "Cu", "Cu", "Si", "Si", "Si", "Si", "Si", "Si", "Si", "Tm", "Tm"], "fractional_positions": [[0.7584, 0.8549, 0.1212], [0.2416, 0.1451, 0.8788], [0.2416, 0.1212, 0.2663], [0.2486, 0.6159, 0.0478], [0.2486, 0.9522, 0.5681], [0.7514, 0.0478, 0.4319], [0.2486, 0.4319, 0.3841], [0.7584, 0.8788, 0.7337], [0.7514, 0.5681, 0.6159], [0.7514, 0.3841, 0.9522], [0.2416, 0.7337, 0.8549], [0.7584, 0.2663, 0.1451], [0.2522, 0.8803, 0.2907], [0.2522, 0.7093, 0.5896], [0.2522, 0.4104, 0.1197], [0.7478, 0.5896, 0.8803], [0.5000, 0.0000, 0.0000], [0.7478, 0.1197, 0.7093], [0.7478, 0.2907, 0.4104], [0.7479, 0.6667, 0.3333], [0.2521, 0.3333, 0.6667]]}

# 6
{"formula": "Tm3Cu2Si3", "functional": "PBE", "state": "relaxed", "magmom_total_mub_per_atom": 0.1088, "formation_energy_uncorrected_ev_per_fu": -5.363, "sg": "Cmcm (63)", "cell": [[4.1274, 0.0000, 0.0000], [-2.0637, 5.1245, 0.0000], [0.0000, 0.0000, 13.7664]], "species": ["Si", "Si", "Si", "Si", "Si", "Si", "Tm", "Tm", "Tm", "Tm", "Tm", "Tm", "Cu", "Cu", "Cu", "Cu"], "fractional_positions": [[0.3916, 0.7833, 0.5408], [0.6084, 0.2167, 0.0408], [0.3345, 0.6691, 0.2500], [0.6655, 0.3309, 0.7500], [0.3916, 0.7833, 0.9592], [0.6084, 0.2167, 0.4592], [0.9161, 0.8322, 0.3862], [0.6320, 0.2641, 0.2500], [0.0839, 0.1678, 0.8862], [0.3680, 0.7359, 0.7500], [0.0839, 0.1678, 0.6138], [0.9161, 0.8322, 0.1138], [0.7894, 0.5787, 0.5899], [0.7894, 0.5787, 0.9101], [0.2106, 0.4213, 0.0899], [0.2106, 0.4213, 0.4101]]}

# 7
{"formula": "TmCuSi2", "functional": "PBE", "state": "relaxed", "magmom_total_mub_per_atom": 0.0000, "formation_energy_uncorrected_ev_per_fu": -2.112, "sg": "Pnma (62)", "cell": [[-2.5184, -3.0567, -0.0301], [0.8814, -0.8265, 10.1892], [-10.1282, 8.3294, 1.5518]], "species": ["Si", "Si", "Si", "Si", "Si", "Si", "Si", "Si", "Si", "Si", "Si", "Si", "Si", "Si", "Si", "Si", "Tm", "Tm", "Tm", "Tm", "Tm", "Tm", "Tm", "Tm", "Cu", "Cu", "Cu", "Cu", "Cu", "Cu", "Cu", "Cu"], "fractional_positions": [[0.7500, 0.7584, 0.7064], [0.7500, 0.7592, 0.8856], [0.7500, 0.5389, 0.4646], [0.2500, 0.0389, 0.0354], [0.2500, 0.4646, 0.8706], [0.7500, 0.7416, 0.2064], [0.2500, 0.2592, 0.6144], [0.2500, 0.2584, 0.7936], [0.7500, 0.5354, 0.1294], [0.7500, 0.9611, 0.9646], [0.7500, 0.9646, 0.6294], [0.2500, 0.2408, 0.1144], [0.2500, 0.0354, 0.3706], [0.2500, 0.2416, 0.2936], [0.7500, 0.7408, 0.3856], [0.2500, 0.4611, 0.5354], [0.2500, 0.5316, 0.2992], [0.2500, 0.7497, 0.5487], [0.2500, 0.7503, 0.0487], [0.7500, 0.2503, 0.4513], [0.7500, 0.4684, 0.7008], [0.2500, 0.9684, 0.7992], [0.7500, 0.0316, 0.2008], [0.7500, 0.2497, 0.9513], [0.2500, 0.6753, 0.7901], [0.7500, 0.5461, 0.9477], [0.2500, 0.4539, 0.0523], [0.7500, 0.1753, 0.7099], [0.7500, 0.3247, 0.2099], [0.7500, 0.9539, 0.4477], [0.2500, 0.0461, 0.5523], [0.2500, 0.8247, 0.2901]]}

# 8
{"formula": "TmCu12Si6", "functional": "PBE", "state": "relaxed", "magmom_total_mub_per_atom": 0.0000, "formation_energy_uncorrected_ev_per_fu": 0.400, "sg": "R-3m (166)", "cell": [[-0.7036, -5.0482, -4.3017], [3.5328, -2.6651, 4.9900], [-6.1009, 0.7160, 2.5980]], "species": ["Si", "Si", "Si", "Si", "Si", "Si", "Cu", "Cu", "Cu", "Cu", "Cu", "Cu", "Cu", "Cu", "Cu", "Cu", "Cu", "Cu", "Tm"], "fractional_positions": [[0.2819, 0.6975, 0.2819], [0.7181, 0.7181, 0.3025], [0.6975, 0.2819, 0.2819], [0.3025, 0.7181, 0.7181], [0.7181, 0.3025, 0.7181], [0.2819, 0.2819, 0.6975], [0.3822, 0.1294, 0.3822], [0.6178, 0.6178, 0.8706], [0.1144, 0.8856, 0.5000], [0.5000, 0.8856, 0.1144], [0.8856, 0.1144, 0.5000], [0.1294, 0.3822, 0.3822], [0.3822, 0.3822, 0.1294], [0.5000, 0.1144, 0.8856], [0.1144, 0.5000, 0.8856], [0.8856, 0.5000, 0.1144], [0.8706, 0.6178, 0.6178], [0.6178, 0.8706, 0.6178], [0.0000, 0.0000, 0.0000]]}

# 9
{"formula": "TmCu6Si4", "functional": "PBE", "state": "relaxed", "magmom_total_mub_per_atom": 0.0000, "formation_energy_uncorrected_ev_per_fu": -2.224, "sg": "P-6m2 (187)", "cell": [[3.8814, 0.0000, 0.0000], [0.0000, 5.8621, -3.3845], [0.0000, 0.0000, 6.7690]], "species": ["Si", "Si", "Si", "Si", "Cu", "Cu", "Cu", "Cu", "Cu", "Cu", "Tm"], "fractional_positions": [[0.5000, 0.8024, 0.1976], [0.5000, 0.8024, 0.6048], [0.0000, 0.3333, 0.6667], [0.5000, 0.3952, 0.1976], [0.0000, 0.5372, 0.0745], [0.0000, 0.5372, 0.4628], [0.5000, 0.5896, 0.7948], [0.0000, 0.9255, 0.4628], [0.5000, 0.2052, 0.7948], [0.5000, 0.2052, 0.4104], [0.0000, 0.0000, 0.0000]]}